(1)
Crystalline PmY2IrO8 at its relaxed geometry, computed with PBE-GGA.

Calculated values
* energy: -7.83 eV per atom
* D(E_F): 5.2 states/eV per cell
* raw formation energy: -27.8 eV per formula unit

Unit cell a=5.077 b=5.077 c=6.875 alpha=90.00 beta=90.00 gamma=90.02
Positions (direct):
Pm1 0.000 0.000 0.000
Y1 0.500 0.500 0.249
Y2 0.500 0.500 0.751
Ir1 0.000 0.000 0.500
O1 0.185 0.815 0.295
O2 0.185 0.815 0.705
O3 0.267 0.267 0.500
O4 0.313 0.313 0.000
O5 0.687 0.687 0.000
O6 0.733 0.733 0.500
O7 0.815 0.185 0.295
O8 0.815 0.185 0.705

---

(2)
Crystalline SrCoGe2Ir at its relaxed geometry, computed with PBE-GGA.

Calculated values
* energy: -5.91 eV per atom
* D(E_F): 3.9 states/eV per cell
* E_form: -529 meV/atom

Unit cell a=4.138 b=4.138 c=10.932 alpha=90.00 beta=90.00 gamma=90.00
Positions (direct):
Sr1 0.000 0.000 0.000
Sr2 0.500 0.500 0.500
Co1 0.000 0.500 0.750
Co2 0.500 0.000 0.250
Ge1 0.000 0.000 0.366
Ge2 0.000 0.000 0.634
Ge3 0.500 0.500 0.134
Ge4 0.500 0.500 0.866
Ir1 0.000 0.500 0.250
Ir2 0.500 0.000 0.750

---

(3)
Crystalline Ac2NdHo6 at its relaxed geometry, computed with PBE-GGA.

Calculated values
* energy: -4.35 eV per atom
* D(E_F): 17.0 states/eV per cell
* E_form: 144 meV/atom

Unit cell a=6.300 b=6.300 c=9.020 alpha=90.00 beta=90.00 gamma=120.42
Positions (direct):
Ac1 0.000 0.500 0.158
Ac2 0.500 0.000 0.842
Nd1 0.000 0.000 0.500
Ho1 0.173 0.329 0.825
Ho2 0.329 0.173 0.175
Ho3 0.338 0.662 0.500
Ho4 0.662 0.338 0.500
Ho5 0.671 0.827 0.175
Ho6 0.827 0.671 0.825

---

(4)
Crystalline CeMg at its relaxed geometry, computed with PBE-GGA.

Calculated values
* energy: -3.71 eV per atom
* D(E_F): 25.6 states/eV per cell
* E_form: 56 meV/atom

Unit cell a=5.533 b=3.238 c=17.146 alpha=90.00 beta=90.00 gamma=90.00
Positions (direct):
Ce1 0.000 0.000 0.000
Ce2 0.000 0.000 0.358
Ce3 0.000 0.500 0.500
Ce4 0.000 0.500 0.858
Ce5 0.500 0.000 0.548
Ce6 0.500 0.500 0.048
Mg1 0.000 0.000 0.677
Mg2 0.000 0.500 0.177
Mg3 0.500 0.000 0.227
Mg4 0.500 0.000 0.882
Mg5 0.500 0.500 0.382
Mg6 0.500 0.500 0.727

---

(5)
Crystalline TbDy2YTe6 at its relaxed geometry, computed with PBE-GGA.

Calculated values
* energy: -5.28 eV per atom
* raw formation energy: -13.7 eV per formula unit

Unit cell a=8.322 b=8.322 c=8.322 alpha=55.13 beta=55.13 gamma=55.13
Positions (direct):
Tb1 0.000 0.000 0.000
Dy1 0.186 0.186 0.186
Dy2 0.686 0.686 0.686
Y1 0.500 0.500 0.500
Te1 0.092 0.780 0.408
Te2 0.281 0.592 0.907
Te3 0.408 0.092 0.780
Te4 0.592 0.907 0.281
Te5 0.780 0.408 0.092
Te6 0.907 0.281 0.592

---

(6)
Crystalline Cs3WSe at its relaxed geometry, computed with PBE-GGA.

Calculated values
* energy: -3.09 eV per atom
* D(E_F): 0.0 states/eV per cell
* raw formation energy: 3.6 eV per formula unit
* energy above the most stable polymorph in this dataset: 0.00 eV/f.u.

Unit cell a=6.923 b=6.923 c=6.923 alpha=90.00 beta=90.00 gamma=90.00
Positions (direct):
Cs1 0.000 0.000 0.500
Cs2 0.000 0.500 0.000
Cs3 0.500 0.000 0.000
W1 0.500 0.500 0.500
Se1 0.000 0.000 0.000

---

(7)
Crystalline Tb8Y2Cd at its relaxed geometry, computed with PBE-GGA.

Calculated values
* energy: -4.64 eV per atom
* D(E_F): 16.6 states/eV per cell
* energy above the most stable polymorph in this dataset: 0.00 eV/f.u.
* E_form: -11 meV/atom

Unit cell a=6.163 b=6.163 c=12.367 alpha=102.54 beta=102.54 gamma=48.29
Positions (direct):
Tb1 0.035 0.035 0.325
Tb2 0.139 0.139 0.952
Tb3 0.248 0.248 0.589
Tb4 0.411 0.411 0.862
Tb5 0.589 0.589 0.138
Tb6 0.752 0.752 0.411
Tb7 0.861 0.861 0.048
Tb8 0.965 0.965 0.675
Y1 0.313 0.313 0.238
Y2 0.687 0.687 0.762
Cd1 0.500 0.500 0.500

---

(8)
Crystalline CuTc2Cl at its relaxed geometry, computed with PBE-GGA.

Calculated values
* energy: -6.45 eV per atom
* D(E_F): 7.2 states/eV per cell
* raw formation energy: 0.9 eV per formula unit
* energy above the most stable polymorph in this dataset: 0.18 eV/f.u.

Unit cell a=2.865 b=2.865 c=24.868 alpha=90.00 beta=90.00 gamma=120.00
Positions (direct):
Cu1 0.000 0.000 0.000
Cu2 0.333 0.667 0.667
Cu3 0.667 0.333 0.333
Tc1 0.000 0.000 0.501
Tc2 0.000 0.000 0.753
Tc3 0.333 0.667 0.168
Tc4 0.333 0.667 0.420
Tc5 0.667 0.333 0.087
Tc6 0.667 0.333 0.835
Cl1 0.000 0.000 0.250
Cl2 0.333 0.667 0.916
Cl3 0.667 0.333 0.583

---

(9)
Crystalline Ba2MgGe3Pd12 at its relaxed geometry, computed with PBE-GGA.

Calculated values
* energy: -4.76 eV per atom
* D(E_F): 5.9 states/eV per cell
* E_form: -226 meV/atom

Unit cell a=7.741 b=7.741 c=7.741 alpha=68.47 beta=68.47 gamma=68.47
Positions (direct):
Ba1 0.110 0.110 0.110
Ba2 0.890 0.890 0.890
Mg1 0.500 0.500 0.500
Ge1 0.000 0.500 0.500
Ge2 0.500 0.000 0.500
Ge3 0.500 0.500 0.000
Pd1 0.135 0.633 0.633
Pd2 0.154 0.154 0.592
Pd3 0.154 0.592 0.154
Pd4 0.367 0.367 0.865
Pd5 0.367 0.865 0.367
Pd6 0.408 0.846 0.846
Pd7 0.592 0.154 0.154
Pd8 0.633 0.135 0.633
Pd9 0.633 0.633 0.135
Pd10 0.846 0.408 0.846
Pd11 0.846 0.846 0.408
Pd12 0.865 0.367 0.367

---

(10)
Crystalline Ba2ZrRu at its relaxed geometry, computed with PBE-GGA.

Calculated values
* energy: -4.61 eV per atom
* D(E_F): 4.4 states/eV per cell
* energy above the most stable polymorph in this dataset: 2.80 eV/f.u.
* E_form: 803 meV/atom

Unit cell a=4.423 b=4.423 c=5.695 alpha=90.00 beta=90.00 gamma=90.00
Positions (direct):
Ba1 0.000 0.500 0.000
Ba2 0.500 0.000 0.000
Zr1 0.000 0.000 0.500
Ru1 0.500 0.500 0.500

---

(11)
Crystalline MgNi2HIr at its relaxed geometry, computed with PBE-GGA.

Calculated values
* energy: -5.20 eV per atom
* D(E_F): 4.9 states/eV per cell
* energy above the most stable polymorph in this dataset: 0.00 eV/f.u.

Unit cell a=3.799 b=3.799 c=3.803 alpha=90.00 beta=90.00 gamma=90.00
Positions (direct):
Mg1 0.000 0.000 0.000
Ni1 0.000 0.500 0.500
Ni2 0.500 0.000 0.500
H1 0.500 0.500 0.500
Ir1 0.500 0.500 0.000

---

(12)
Crystalline DyPt4 at its relaxed geometry, computed with PBE-GGA.

Calculated values
* energy: -6.55 eV per atom
* D(E_F): 8.2 states/eV per cell
* E_form: -801 meV/atom

Unit cell a=7.883 b=7.883 c=7.883 alpha=148.39 beta=136.84 gamma=54.47
Positions (direct):
Dy1 0.357 0.107 0.250
Dy2 0.643 0.893 0.750
Pt1 0.000 0.500 0.500
Pt2 0.144 0.894 0.250
Pt3 0.179 0.694 0.484
Pt4 0.290 0.306 0.984
Pt5 0.500 0.500 0.000
Pt6 0.710 0.694 0.016
Pt7 0.821 0.306 0.516
Pt8 0.856 0.106 0.750